{"formula": "Sm6ErTm", "functional": "PBE-GGA", "state": "relaxed", "e_tot_ev_per_atom": -4.650, "ef_ev_per_atom": 0.02, "lattice_angstrom": [[5.0819, 0.0000, 0.0000], [0.0000, 5.0819, 0.0000], [0.0000, 0.0000, 10.1651]], "species": ["Sm", "Sm", "Sm", "Sm", "Sm", "Sm", "Er", "Tm"], "frac_coords": [[0.0000, 0.0000, 0.0000], [0.0000, 0.0000, 0.5000], [0.0000, 0.5000, 0.2504], [0.0000, 0.5000, 0.7496], [0.5000, 0.0000, 0.2504], [0.5000, 0.0000, 0.7496], [0.5000, 0.5000, 0.0000], [0.5000, 0.5000, 0.5000]]}

{"formula": "TcHSe2N", "functional": "PBE-GGA", "state": "relaxed", "e_tot_ev_per_atom": -4.991, "lattice_angstrom": [[4.9931, 0.0000, 0.0000], [0.0000, 4.9931, 0.0000], [0.0000, 0.0000, 3.7056]], "species": ["Tc", "H", "Se", "Se", "N"], "frac_coords": [[0.0000, 0.0000, 0.0000], [0.5000, 0.5000, 0.5000], [0.0000, 0.5000, 0.0000], [0.5000, 0.0000, 0.0000], [0.0000, 0.0000, 0.5000]]}

{"formula": "Ce5BiTe5", "functional": "PBE-GGA", "state": "relaxed", "e_tot_ev_per_atom": -5.729, "formation_energy_uncorrected_ev_per_atom": -1.25, "lattice_angstrom": [[7.1179, -3.1945, 0.0000], [7.1179, 3.1945, 0.0000], [-2.8049, 0.0000, 8.5328]], "species": ["Ce", "Ce", "Ce", "Ce", "Ce", "Bi", "Te", "Te", "Te", "Te", "Te"], "frac_coords": [[0.0000, 0.0000, 0.0000], [0.3326, 0.3326, 0.1719], [0.3332, 0.3332, 0.6619], [0.6668, 0.6668, 0.3381], [0.6674, 0.6674, 0.8281], [0.5000, 0.5000, 0.0000], [0.1627, 0.1627, 0.3367], [0.1660, 0.1660, 0.8305], [0.5000, 0.5000, 0.5000], [0.8340, 0.8340, 0.1695], [0.8373, 0.8373, 0.6633]]}

{"formula": "DyThIr4", "functional": "PBE-GGA", "state": "relaxed", "e_tot_ev_per_atom": -8.726, "ef_ev_per_atom": -0.82, "lattice_angstrom": [[0.0000, 3.8265, 3.8265], [3.8265, 0.0000, 3.8265], [3.8265, 3.8265, 0.0000]], "species": ["Dy", "Th", "Ir", "Ir", "Ir", "Ir"], "frac_coords": [[0.0000, 0.0000, 0.0000], [0.2500, 0.2500, 0.2500], [0.1234, 0.6255, 0.6255], [0.6255, 0.1234, 0.6255], [0.6255, 0.6255, 0.1234], [0.6255, 0.6255, 0.6255]]}